Material: La3MgO
Method: DFT, PBE
State: optimized geometry

Output
The space group is P1, No. 1. Its offset from the most stable computed form is 0.081 eV/atom. For the formation energy from raw total energies, the calculation gives -1.126 eV/atom. Its density is 5208 kg/m³.

Cell lengths 7.018, 7.067, 8.513 Å; angles 72.48, 52.66, 60.24 degrees
Fractional positions:
Mg1 0.448 0.922 0.240
Mg2 0.448 0.924 0.739
O1 0.757 0.308 0.739
O2 0.757 0.308 0.239
La1 0.673 0.471 0.490
La2 0.675 0.471 0.989
La3 0.235 0.349 0.991
La4 0.946 0.927 0.740
La5 0.947 0.926 0.239
La6 0.235 0.349 0.489